A relaxed Sm5Ho2Mg crystal, computed with PBE.

The structure in CIF format:
```
data_Sm5Ho2Mg
_chemical_formula_sum 'Sm20 Ho8 Mg4'
_cell_length_a 5.2116
_cell_length_b 11.3189
_cell_length_c 17.5866
_cell_angle_alpha 90.00
_cell_angle_beta 90.00
_cell_angle_gamma 90.00
_space_group_name_H-M_alt 'C m c m'
_space_group_IT_number 63
_space_group_name_Hall '-C 2c 2'
loop_
_atom_site_label
_atom_site_type_symbol
_atom_site_fract_x
_atom_site_fract_y
_atom_site_fract_z
_atom_site_occupancy
Sm1 Sm 0.0000 0.0328 0.2500 1
Sm2 Sm 0.0000 0.1468 0.0379 1
Sm3 Sm 0.0000 0.4485 0.0922 1
Ho1 Ho 0.0000 0.2551 0.6525 1
Mg1 Mg 0.0000 0.3202 0.2500 1
```

Calculated values
Energy of formation: 0.07 eV per atom
Mass density: 7.081 Mg/m³
Volume: 32.419 Å³ per atom
Raw total energy: -4.218 eV/atom



A relaxed Sm2Ho5Mg crystal, computed with PBE.

The structure in CIF format:
```
data_Sm2Ho5Mg
_chemical_formula_sum 'Sm4 Ho10 Mg2'
_cell_length_a 6.9968
_cell_length_b 6.9968
_cell_length_c 10.0222
_cell_angle_alpha 90.00
_cell_angle_beta 90.00
_cell_angle_gamma 90.00
_space_group_name_H-M_alt 'I 4/m m m'
_space_group_IT_number 139
_space_group_name_Hall '-I 4 2'
loop_
_atom_site_label
_atom_site_type_symbol
_atom_site_fract_x
_atom_site_fract_y
_atom_site_fract_z
_atom_site_occupancy
Sm1 Sm 0.0000 0.5000 0.0000 1
Ho1 Ho 0.0000 0.0000 0.0000 1
Ho2 Ho 0.2500 0.2500 0.2500 1
Mg1 Mg 0.0000 0.0000 0.5000 1
```

Calculated values
Energy of formation: 0.02 eV per atom
Mass density: 7.782 Mg/m³
Volume: 30.665 Å³ per atom
Raw total energy: -4.223 eV/atom